Entry 1:
# PBE SiPtCl2, relaxed
# Magnetization (μB per cell): 0.00
# Formation energy from raw total energies (meV/atom): -15
# Excess energy over the best structure of this formula in the dataset (meV per atom): 529.3
# Calculated total energy (eV/atom): -3.804
data_SiPtCl2
_symmetry_space_group_name_H-M 'P 4 m m'
_symmetry_Int_Tables_number 99
_symmetry_space_group_name_Hall 'P 4 -2'
_cell_length_a 3.148
_cell_length_b 3.148
_cell_length_c 8.276
_cell_angle_alpha 90.00
_cell_angle_beta 90.00
_cell_angle_gamma 90.00
loop_
_atom_site_label
_atom_site_fract_x
_atom_site_fract_y
_atom_site_fract_z
Si1 0.000 0.000 0.000
Pt1 0.500 0.500 0.845
Cl1 0.000 0.000 0.639
Cl2 0.500 0.500 0.212

***

Entry 2:
# PBE Si2PtCl, relaxed
# Magnetization (μB per cell): 0.00
# Formation energy from raw total energies (meV/atom): 240
# Excess energy over the best structure of this formula in the dataset (meV per atom): 725.6
# Calculated total energy (eV/atom): -4.443
data_Si2PtCl
_symmetry_space_group_name_H-M 'C m m m'
_symmetry_Int_Tables_number 65
_symmetry_space_group_name_Hall '-C 2 2'
_cell_length_a 6.814
_cell_length_b 6.826
_cell_length_c 2.815
_cell_angle_alpha 90.00
_cell_angle_beta 90.00
_cell_angle_gamma 90.00
loop_
_atom_site_label
_atom_site_fract_x
_atom_site_fract_y
_atom_site_fract_z
Si1 0.250 0.250 0.000
Pt1 0.000 0.000 0.500
Cl1 0.000 0.500 0.500

***

Entry 3:
# PBE SiPt2Cl, relaxed
# Magnetization (μB per cell): 0.00
# Formation energy from raw total energies (meV/atom): -50
# Excess energy over the best structure of this formula in the dataset (meV per atom): 267.8
# Calculated total energy (eV/atom): -4.888
data_SiPt2Cl
_symmetry_space_group_name_H-M 'I -4 2 d'
_symmetry_Int_Tables_number 122
_symmetry_space_group_name_Hall 'I -4 2bw'
_cell_length_a 6.209
_cell_length_b 6.209
_cell_length_c 8.463
_cell_angle_alpha 90.00
_cell_angle_beta 90.00
_cell_angle_gamma 90.00
loop_
_atom_site_label
_atom_site_fract_x
_atom_site_fract_y
_atom_site_fract_z
Si1 0.000 0.000 0.000
Pt1 0.213 0.250 0.125
Cl1 0.000 0.000 0.500

***

Question: Among the records above, which one has the lowest formation energy from raw total energies?
Answer: SiPt2Cl

***

Question: Which value of calculated total energy does entry 3 give?
Answer: -4.888 eV/atom

***

Question: Which value of excess energy over the best structure of this formula in the dataset does entry 3 give?
Answer: 267.8 meV per atom

***

Question: calculated total energy of number 2 (Si2PtCl)?
Answer: -4.443 eV/atom